Record 1
HgBNF2 (PBE, optimized geometry); space group = No. 123; ΔE to the lowest computed polymorph = 1655 meV per atom; uncorrected formation energy = 1.0532 eV/atom; total magnetic moment = 0.32 μB/atom
1.0
-1.244 -0.515 4.464
-4.095 -1.776 -1.347
1.650 -3.821 0.019
F N B Hg
2 1 1 1
Direct
0.500 0.000 0.000
0.000 0.500 0.000
0.000 0.000 0.500
0.500 0.500 0.500
0.000 0.000 0.000

---

Record 2
HgBNF2 (PBE, optimized geometry); space group = No. 123; ΔE to the lowest computed polymorph = 0 meV per atom; uncorrected formation energy = -0.6014 eV/atom; total magnetic moment = 0.04 μB/atom
1.0
-3.008 3.295 1.180
-3.480 -2.979 -0.553
0.216 -0.737 2.608
B N F Hg
1 1 2 1
Direct
0.000 0.000 0.000
0.000 0.000 0.500
0.000 0.500 0.000
0.500 0.000 0.000
0.500 0.500 0.500

---

Record 3
NaHgB2F8 (PBE, optimized geometry); space group = No. 166; uncorrected formation energy = -2.5585 eV/atom; total magnetic moment = 0.08 μB/atom
1.0
5.350 0.000 0.000
2.675 4.633 0.000
2.675 1.544 6.380
F Na Hg B
8 1 1 2
Direct
0.844 0.844 0.469
0.034 0.600 0.765
0.601 0.034 0.765
0.966 0.400 0.235
0.156 0.156 0.531
0.400 0.399 0.235
0.600 0.601 0.765
0.399 0.966 0.235
0.500 0.500 0.500
0.000 0.000 0.000
0.770 0.770 0.690
0.230 0.230 0.310